No. 1
P2Pt | SCAN | single point on PBEsol structure

a b c (Å): 5.6900 5.6900 5.6900
angles (deg): 90.00 90.00 90.00
Last column: nearest neighbours and their distance in Å.
Positions (direct):
P1 0.3891 0.3891 0.3891  1 P 2.19, 3 Pt 2.39
P2 0.1109 0.6109 0.8891  1 P 2.19, 3 Pt 2.39
P3 0.6109 0.8891 0.1109  1 P 2.19, 3 Pt 2.39
P4 0.8891 0.1109 0.6109  1 P 2.19, 3 Pt 2.39
P5 0.6109 0.6109 0.6109  1 P 2.19, 3 Pt 2.39
P6 0.8891 0.3891 0.1109  1 P 2.19, 3 Pt 2.39
P7 0.3891 0.1109 0.8891  1 P 2.19, 3 Pt 2.39
P8 0.1109 0.8891 0.3891  1 P 2.19, 3 Pt 2.39
Pt1 0.0000 0.0000 0.0000  6 P 2.39
Pt2 0.5000 0.0000 0.5000  6 P 2.39
Pt3 0.0000 0.5000 0.5000  6 P 2.39
Pt4 0.5000 0.5000 0.0000  6 P 2.39

Calculated values
- Formation energy: -880 meV/atom
- Space group: Pa-3 (205)
- Electronic total energy: -31.2097 eV/atom
- DOS(E_F): 0.00 states/eV per atom

No. 2
CaZrIn2 | SCAN | single point on PBEsol structure

a b c (Å): 3.2312 4.2564 6.8333
angles (deg): 90.00 90.00 90.00
Last column: nearest neighbours and their distance in Å.
Positions (direct):
Ca1 0.5000 0.5000 0.5000  2 Ca 3.23, 8 In 3.25, 2 Zr 3.42
Zr1 0.5000 0.5000 0.0000  8 In 3.10, 2 Zr 3.23, 2 Ca 3.42
In1 0.0000 0.0000 0.7705  4 Zr 3.10, 3 In 3.14-3.23, 4 Ca 3.25
In2 0.0000 0.0000 0.2295  4 Zr 3.10, 3 In 3.14-3.23, 4 Ca 3.25

Calculated values
- Formation energy: -467 meV/atom
- Space group: Pmmm (47)
- Electronic total energy: -27.2510 eV/atom
- DOS(E_F): 0.45 states/eV per atom

No. 3
LiCaBO3 | SCAN | single point on PBEsol structure

a b c (Å): 6.0327 6.0817 7.8768
angles (deg): 112.71 112.52 90.00
Last column: nearest neighbours and their distance in Å.
Positions (direct):
Li1 0.7500 0.0285 0.0000  4 O 2.02-2.21
Li2 0.2500 0.4715 0.0000  4 O 2.02-2.21
Li3 0.2500 0.9715 0.0000  4 O 2.02-2.21
Li4 0.7500 0.5285 0.0000  4 O 2.02-2.21
Ca1 0.8194 0.0694 0.6387  7 O 2.34-2.48
Ca2 0.6806 0.4306 0.3613  7 O 2.34-2.48
Ca3 0.1806 0.9306 0.3613  7 O 2.34-2.48
Ca4 0.3194 0.5694 0.6387  7 O 2.34-2.48
B1 0.1015 0.3515 0.2031  3 O 1.38-1.39
B2 0.3985 0.1485 0.7969  3 O 1.38-1.39
B3 0.8985 0.6485 0.7969  3 O 1.38-1.39
B4 0.6015 0.8515 0.2031  3 O 1.38-1.39
O1 0.7034 0.4572 0.6904  1 B 1.39
O2 0.5130 0.0428 0.3096  1 B 1.39
O3 0.9870 0.7332 0.6904  1 B 1.39
O4 0.7966 0.7668 0.3096  1 B 1.39
O5 0.2967 0.5428 0.3096  1 B 1.39
O6 0.4870 0.9572 0.6904  1 B 1.39
O7 0.0130 0.2668 0.3096  1 B 1.39
O8 0.2034 0.2332 0.6904  1 B 1.39
O9 0.9974 0.2474 0.9948  1 B 1.38
O10 0.5026 0.2526 0.0052  1 B 1.38
O11 0.0026 0.7526 0.0052  1 B 1.38
O12 0.4974 0.7474 0.9948  1 B 1.38

Calculated values
- Space group: Ibca (73)
- Formation energy without anion corrections: -1681 kJ/mol of formula units
- Electronic total energy: -9.2666 eV/atom
- DOS(E_F): 0.00 states/eV per atom

No. 4
ZrSb2Ir | SCAN | single point on PBEsol structure

a b c (Å): 4.1203 4.1203 5.4598
angles (deg): 112.17 112.17 90.00
Last column: nearest neighbours and their distance in Å.
Positions (direct):
Ir1 0.2500 0.7500 0.5000  8 Sb 2.91-3.09, 4 Zr 3.09
Sb1 0.0000 0.0000 0.0000  4 Zr 2.91, 4 Sb 3.09, 4 Ir 3.09
Sb2 0.7500 0.2500 0.5000  4 Ir 2.91, 4 Zr 3.09, 4 Sb 3.09
Zr1 0.5000 0.5000 0.0000  8 Sb 2.91-3.09, 4 Ir 3.09

Calculated values
- Offset from the most stable computed form: 0.165 eV/atom
- Space group: I-4m2 (119)
- Formation energy without anion corrections: -86 kJ/mol of formula units
- Electronic total energy: -44.3020 eV/atom
- DOS(E_F): 0.54 states/eV per atom

No. 5
LiMoIBr2 | SCAN | single point on PBEsol structure

a b c (Å): 4.7470 4.7470 5.5189
angles (deg): 90.00 90.00 90.00
Last column: nearest neighbours and their distance in Å.
Positions (direct):
I1 0.0000 0.0000 0.5000  2 Li 2.76
Mo1 0.5000 0.5000 0.5000  4 I 3.36, 8 Br 3.64
Br1 0.0000 0.5000 0.0000  2 Li 2.37
Br2 0.5000 0.0000 0.0000  2 Li 2.37
Li1 0.0000 0.0000 0.0000  4 Br 2.37

Calculated values
- Space group: P4/mmm (123)
- Formation energy without anion corrections: 21 kJ/mol of formula units
- Electronic total energy: -22.5446 eV/atom
- DOS(E_F): 0.59 states/eV per atom

No. 6
CuBr2Cl | SCAN | single point on PBEsol structure

a b c (Å): 3.6929 3.6929 7.3728
angles (deg): 75.50 75.50 60.00
Last column: nearest neighbours and their distance in Å.
Positions (direct):
Cu1 0.0000 0.0000 0.0000  6 Br 2.53
Br1 0.2687 0.2687 0.1939  3 Cu 2.53
Br2 0.7313 0.7313 0.8061  3 Cu 2.53
Cl1 0.5000 0.5000 0.5000  6 Br 3.04

Calculated values
- Space group: R-3m (166)
- Formation energy without anion corrections: 6 kJ/mol of formula units
- Electronic total energy: -15.5097 eV/atom
- DOS(E_F): 1.27 states/eV per atom

No. 7
NbCrW2S | SCAN | single point on PBEsol structure

a b c (Å): 4.5521 4.8408 4.8408
angles (deg): 90.00 90.00 90.00
Last column: nearest neighbours and their distance in Å.
Positions (direct):
Cr1 0.5000 0.5000 0.5000  8 W 3.32, 4 S 3.42
Nb1 0.0000 0.0000 0.0000  2 S 2.28, 4 W 2.42
S1 0.5000 0.0000 0.0000  2 Nb 2.28
W1 0.0000 0.0000 0.5000  2 Nb 2.42
W2 0.0000 0.5000 0.0000  2 Nb 2.42

Calculated values
- Space group: P4/mmm (123)
- Formation energy without anion corrections: 972 kJ/mol of formula units
- Electronic total energy: -38.0886 eV/atom
- DOS(E_F): 1.32 states/eV per atom

No. 8
YAl3Ni | SCAN | single point on PBEsol structure

a b c (Å): 4.4941 4.4941 4.4941
angles (deg): 90.00 90.00 90.00
Last column: nearest neighbours and their distance in Å.
Positions (direct):
Y1 0.5000 0.5000 0.5000  12 Al 3.18
Ni1 0.0000 0.0000 0.0000  6 Al 2.25
Al1 0.0000 0.5000 0.0000  2 Ni 2.25
Al2 0.0000 0.0000 0.5000  2 Ni 2.25
Al3 0.5000 0.0000 0.0000  2 Ni 2.25

Calculated values
- Formation energy: -399 meV/atom
- Offset from the most stable computed form: 0.271 eV/atom
- Space group: Pm-3m (221)
- Electronic total energy: -13.8537 eV/atom
- DOS(E_F): 0.51 states/eV per atom

No. 9
H3OsBr | SCAN | single point on PBEsol structure

a b c (Å): 3.6044 3.6044 3.6044
angles (deg): 90.00 90.00 90.00
Last column: nearest neighbours and their distance in Å.
Positions (direct):
H1 0.0000 0.5000 0.0000  2 Os 1.80
H2 0.0000 0.0000 0.5000  2 Os 1.80
H3 0.5000 0.0000 0.0000  2 Os 1.80
Os1 0.0000 0.0000 0.0000  6 H 1.80
Br1 0.5000 0.5000 0.5000  12 H 2.55

Calculated values
- Space group: Pm-3m (221)
- Electronic total energy: -19.3323 eV/atom
- DOS(E_F): 0.67 states/eV per atom

No. 10
Sb2IrPb | SCAN | single point on PBEsol structure

a b c (Å): 4.6214 4.6214 5.2880
angles (deg): 115.91 115.91 90.00
Last column: nearest neighbours and their distance in Å.
Positions (direct):
Ir1 0.5000 0.5000 0.0000  4 Pb 3.11, 8 Sb 3.11-3.27
Pb1 0.2500 0.7500 0.5000  8 Sb 3.11-3.27, 4 Ir 3.11
Sb1 0.0000 0.0000 0.0000  4 Pb 3.11, 4 Sb 3.11, 4 Ir 3.27
Sb2 0.7500 0.2500 0.5000  4 Ir 3.11, 4 Sb 3.11, 4 Pb 3.27

Calculated values
- Space group: I-4m2 (119)
- Formation energy without anion corrections: 224 kJ/mol of formula units
- Electronic total energy: -54.7703 eV/atom
- DOS(E_F): 0.46 states/eV per atom

No. 11
BeAlHg | SCAN | single point on PBEsol structure

a b c (Å): 4.2245 4.2245 4.2245
angles (deg): 60.00 60.00 60.00
Last column: nearest neighbours and their distance in Å.
Positions (direct):
Be1 0.0000 0.0000 0.0000  4 Al 2.59
Hg1 0.5000 0.5000 0.5000  4 Al 2.59
Al1 0.7500 0.7500 0.7500  4 Be 2.59, 4 Hg 2.59

Calculated values
- Formation energy: 340 meV/atom
- Offset from the most stable computed form: 0.014 eV/atom
- Space group: F-43m (216)
- Electronic total energy: -26.4171 eV/atom
- DOS(E_F): 0.25 states/eV per atom

No. 12
BeTl2Pt | SCAN | single point on PBEsol structure

a b c (Å): 3.4325 4.6573 4.6573
angles (deg): 90.00 90.00 90.00
Last column: nearest neighbours and their distance in Å.
Positions (direct):
Be1 0.5000 0.5000 0.5000  8 Tl 2.89
Tl1 0.0000 0.0000 0.5000  4 Be 2.89, 4 Pt 2.89
Tl2 0.0000 0.5000 0.0000  4 Be 2.89, 4 Pt 2.89
Pt1 0.5000 0.0000 0.0000  8 Tl 2.89

Calculated values
- Formation energy: 526 meV/atom
- Offset from the most stable computed form: 0.501 eV/atom
- Space group: P4/mmm (123)
- Electronic total energy: -54.2900 eV/atom
- DOS(E_F): 0.41 states/eV per atom

No. 13
Hg3OsW | SCAN | single point on PBEsol structure

a b c (Å): 5.1209 5.1209 5.1209
angles (deg): 90.00 90.00 90.00
Last column: nearest neighbours and their distance in Å.
Positions (direct):
Os1 0.5000 0.5000 0.5000  12 Hg 3.62
Hg1 0.0000 0.5000 0.0000  2 W 2.56
Hg2 0.0000 0.0000 0.5000  2 W 2.56
Hg3 0.5000 0.0000 0.0000  2 W 2.56
W1 0.0000 0.0000 0.0000  6 Hg 2.56

Calculated values
- Formation energy: 2318 meV/atom
- Space group: Pm-3m (221)
- Electronic total energy: -66.8952 eV/atom
- DOS(E_F): 1.09 states/eV per atom

No. 14
LiFe2Hg | SCAN | single point on PBEsol structure

a b c (Å): 2.7326 2.7326 9.3287
angles (deg): 81.58 81.58 60.00
Last column: nearest neighbours and their distance in Å.
Positions (direct):
Fe1 0.2524 0.2524 0.2429  6 Fe 2.73, 3 Li 2.73, 3 Hg 2.84
Fe2 0.7476 0.7476 0.7571  6 Fe 2.73, 3 Li 2.73, 3 Hg 2.84
Hg1 0.5000 0.5000 0.5000  6 Hg 2.73, 6 Fe 2.84
Li1 0.0000 0.0000 0.0000  6 Li 2.73, 6 Fe 2.73

Calculated values
- Formation energy: 475 meV/atom
- Space group: R-3m (166)
- Electronic total energy: -26.2287 eV/atom
- DOS(E_F): 0.95 states/eV per atom

No. 15
HfTcGe | SCAN | single point on PBEsol structure

a b c (Å): 3.9607 3.9607 7.0763
angles (deg): 106.25 106.25 90.00
Last column: nearest neighbours and their distance in Å.
Positions (direct):
Ge1 0.8695 0.8695 0.7391  4 Tc 2.61, 5 Hf 2.81-2.83
Ge2 0.1305 0.1305 0.2609  4 Tc 2.61, 5 Hf 2.81-2.83
Hf1 0.3480 0.3480 0.6960  4 Tc 2.80, 5 Ge 2.81-2.83
Hf2 0.6520 0.6520 0.3040  4 Tc 2.80, 5 Ge 2.81-2.83
Tc1 0.0000 0.5000 0.0000  4 Ge 2.61, 4 Hf 2.80, 4 Tc 2.80
Tc2 0.5000 0.0000 0.0000  4 Ge 2.61, 4 Hf 2.80, 4 Tc 2.80

Calculated values
- Formation energy: -628 meV/atom
- Space group: I4/mmm (139)
- Electronic total energy: -39.5683 eV/atom
- DOS(E_F): 0.40 states/eV per atom

No. 16
Be3WO | SCAN | single point on PBEsol structure

a b c (Å): 3.6108 3.6108 3.6108
angles (deg): 90.00 90.00 90.00
Last column: nearest neighbours and their distance in Å.
Positions (direct):
Be1 0.0000 0.5000 0.0000  2 O 1.81
Be2 0.0000 0.0000 0.5000  2 O 1.81
Be3 0.5000 0.0000 0.0000  2 O 1.81
O1 0.0000 0.0000 0.0000  6 Be 1.81
W1 0.5000 0.5000 0.5000  12 Be 2.55

Calculated values
- Space group: Pm-3m (221)
- Formation energy without anion corrections: 2 kJ/mol of formula units
- Electronic total energy: -17.7915 eV/atom
- DOS(E_F): 0.67 states/eV per atom

No. 17
HfZnOs3 | SCAN | single point on PBEsol structure

a b c (Å): 4.4123 4.4123 4.4123
angles (deg): 90.00 90.00 90.00
Last column: nearest neighbours and their distance in Å.
Positions (direct):
Hf1 0.5000 0.5000 0.5000  12 Os 3.12
Zn1 0.0000 0.0000 0.0000  6 Os 2.21
Os1 0.0000 0.5000 0.0000  2 Zn 2.21
Os2 0.0000 0.0000 0.5000  2 Zn 2.21
Os3 0.5000 0.0000 0.0000  2 Zn 2.21

Calculated values
- Formation energy: 1300 meV/atom
- Space group: Pm-3m (221)
- Electronic total energy: -57.0654 eV/atom
- DOS(E_F): 1.26 states/eV per atom

No. 18
La2InCu | SCAN | single point on PBEsol structure

a b c (Å): 3.8043 3.8043 9.3086
angles (deg): 78.21 78.21 60.00
Last column: nearest neighbours and their distance in Å.
Positions (direct):
Cu1 0.5000 0.5000 0.5000  6 La 2.97
In1 0.0000 0.0000 0.0000  6 La 3.35
La1 0.2402 0.2402 0.2794  3 Cu 2.97
La2 0.7598 0.7598 0.7206  3 Cu 2.97

Calculated values
- Formation energy: -160 meV/atom
- Space group: R-3m (166)
- Electronic total energy: -33.8585 eV/atom
- DOS(E_F): 0.98 states/eV per atom

No. 19
Hf2HPdN | SCAN | single point on PBEsol structure

a b c (Å): 3.1562 4.5183 4.5183
angles (deg): 90.00 90.00 90.00
Last column: nearest neighbours and their distance in Å.
Positions (direct):
H1 0.5000 0.0000 0.0000  2 N 1.58
Hf1 0.0000 0.0000 0.5000  2 N 2.26
Hf2 0.0000 0.5000 0.0000  2 N 2.26
Pd1 0.5000 0.5000 0.5000  8 Hf 2.76
N1 0.0000 0.0000 0.0000  2 H 1.58

Calculated values
- Space group: P4/mmm (123)
- Electronic total energy: -34.6971 eV/atom
- DOS(E_F): 0.38 states/eV per atom

No. 20
SiPt3 | SCAN | single point on PBEsol structure

a b c (Å): 2.7602 5.0513 5.0513
angles (deg): 116.76 100.49 100.49
Last column: nearest neighbours and their distance in Å.
Positions (direct):
Pt1 0.5000 0.5000 0.5000  6 Pt 2.65-2.76, 2 Si 2.65
Pt2 0.0000 0.5000 0.0000  6 Pt 2.65-2.76, 2 Si 2.65
Pt3 0.0000 0.0000 0.5000  2 Si 2.65, 6 Pt 2.65-2.76
Si1 0.5000 0.0000 0.0000  6 Pt 2.65, 2 Si 2.76

Calculated values
- Space group: R-3m (166)
- Formation energy without anion corrections: -51 kJ/mol of formula units
- Electronic total energy: -55.2803 eV/atom
- DOS(E_F): 0.50 states/eV per atom